Material: Re3P
Method: DFT, PBE
State: optimized geometry

Cell lengths 4.3766, 4.3766, 4.3766 Å; angles 90.00, 90.00, 90.00 degrees
Last column: nearest neighbours and their distance in Å.
Element x y z (fractional)
Re: 0.5000 0.0000 0.0000  2 P 2.19
Re: 0.0000 0.5000 0.0000  2 P 2.19
Re: 0.0000 0.0000 0.5000  2 P 2.19
P: 0.0000 0.0000 0.0000  6 Re 2.19

Summary:
The symmetry is Pm-3m (221). As for the formation energy: 180 kJ per mole of atoms.